No. 1
This record from Alexandria describes a relaxed TcSb2Rh crystal. The functional is PBE-GGA.

The calculation puts the formation energy without anion corrections at 0.00 eV/atom. The value obtained for the total DFT energy (no corrections) is -26.0 eV/cell. The value obtained for the energy above the most stable polymorph in this dataset is 0.253 eV/f.u. The spin magnetization is 0.00 μB/f.u.

The space group is P4/mmm (No. 123) and the conventional cell measures 3.321, 3.321 and 6.443 Å, with angles of 90.00, 90.00 and 90.00 degrees. The asymmetric unit holds Tc at (0.000, 0.000, 0.000), Sb at (0.500, 0.500, 0.248) and Rh at (0.000, 0.000, 0.500).

No. 2
This record from Alexandria describes a relaxed Zn2Mo crystal. The functional is PBE-GGA.

The value obtained for the total DFT energy (no corrections) is -52.6 eV/cell. For the energy of formation, the calculation gives 0.0770 eV/atom. The spin magnetization is 0.00 μB/f.u.

The space group is Pnma (No. 62) and the conventional cell measures 5.653, 3.534 and 8.992 Å, with angles of 90.00, 90.00 and 90.00 degrees. The asymmetric unit holds Zn at (0.106, 0.250, 0.083), Zn at (0.152, 0.250, 0.744) and Mo at (0.101, 0.250, 0.417).

No. 3
This record from Alexandria describes a relaxed LiCdPb2 crystal. The functional is PBE-GGA.

The value obtained for the total DFT energy (no corrections) is -10.5 eV/cell. For the energy of formation, the calculation gives -0.0630 eV/atom. The spin magnetization is 0.00 μB/f.u.

The space group is P2/m (No. 10) and the conventional cell measures 3.421, 4.939 and 6.323 Å, with angles of 90.00, 97.05 and 90.00 degrees. The asymmetric unit holds Li at (0.000, 0.000, 0.000), Cd at (0.500, 0.000, 0.500) and Pb at (0.268, 0.500, 0.755).

No. 4
This record from Alexandria describes a relaxed ReMoW crystal. The functional is PBE-GGA.

The value obtained for the total DFT energy (no corrections) is -71.0 eV/cell. For the energy of formation, the calculation gives 0.2517 eV/atom. The value obtained for the energy above the most stable polymorph in this dataset is 0.596 eV/f.u. The spin magnetization is 0.00 μB/f.u.

The space group is I4mm (No. 107) and the conventional cell measures 2.810, 2.810 and 12.031 Å, with angles of 90.00, 90.00 and 90.00 degrees. The asymmetric unit holds Re at (0.000, 0.000, 0.000), Mo at (0.000, 0.000, 0.661) and W at (0.000, 0.000, 0.337).

No. 5
This record from Alexandria describes a relaxed DyHo5TmSc2 crystal. The functional is PBE-GGA.

The value obtained for the total DFT energy (no corrections) is -172.5 eV/cell. For the energy of formation, the calculation gives 0.1675 eV/atom. The spin magnetization is 0.00 μB/f.u.

The space group is Cmc2_1 (No. 36) and the conventional cell measures 5.552, 21.244 and 9.273 Å, with angles of 90.00, 90.00 and 90.00 degrees. The asymmetric unit holds Dy at (0.000, 0.185, 0.000), Ho at (0.000, 0.012, 0.995), Ho at (0.000, 0.265, 0.317), Ho at (0.000, 0.306, 0.702), Ho at (0.000, 0.392, 0.030), Ho at (0.000, 0.469, 0.731), Tm at (0.000, 0.402, 0.404), Sc at (0.000, 0.113, 0.307) and Sc at (0.000, 0.135, 0.684).

No. 6
This record from Alexandria describes a relaxed PuThPa2 crystal. The functional is PBE-GGA.

The value obtained for the total DFT energy (no corrections) is -40.4 eV/cell. For the energy of formation, the calculation gives 0.0952 eV/atom. The value obtained for the energy above the most stable polymorph in this dataset is 0.000 eV/f.u. The spin magnetization is 4.64 μB/f.u.

The space group is P4/mmm (No. 123) and the conventional cell measures 4.647, 4.647 and 4.843 Å, with angles of 90.00, 90.00 and 90.00 degrees. The asymmetric unit holds Pu at (0.000, 0.000, 0.000), Th at (0.500, 0.500, 0.000) and Pa at (0.000, 0.500, 0.500).

No. 7
This record from Alexandria describes a relaxed In2HgBr crystal. The functional is PBE-GGA.

The calculation puts the formation energy without anion corrections at -0.27 eV/atom. The value obtained for the total DFT energy (no corrections) is -8.5 eV/cell. The value obtained for the energy above the most stable polymorph in this dataset is 0.000 eV/f.u. The spin magnetization is 0.00 μB/f.u.

The space group is Pmmm (No. 47) and the conventional cell measures 4.329, 4.624 and 6.236 Å, with angles of 90.00, 90.00 and 90.00 degrees. The asymmetric unit holds In at (0.000, 0.000, 0.000), In at (0.500, 0.500, 0.500), Hg at (0.000, 0.000, 0.500) and Br at (0.500, 0.500, 0.000).

No. 8
This record from Alexandria describes a relaxed VNi4Pd crystal. The functional is PBE-GGA.

The value obtained for the total DFT energy (no corrections) is -148.3 eV/cell. For the energy of formation, the calculation gives 0.0605 eV/atom. The value obtained for the energy above the most stable polymorph in this dataset is 1.040 eV/f.u. The spin magnetization is 0.81 μB/f.u.

The space group is Cmcm (No. 63) and the conventional cell measures 3.687, 15.926 and 5.133 Å, with angles of 90.00, 90.00 and 90.00 degrees. The asymmetric unit holds V at (0.000, 0.228, 0.250), Ni at (0.000, 0.074, 0.250), Ni at (0.000, 0.343, 0.524), Ni at (0.000, 0.500, 0.000) and Pd at (0.000, 0.091, 0.750).

Q: Number 3 is which compound?
A: LiCdPb2

Q: What is the spin magnetization in the seventh record?
A: 0.00 μB/f.u.